Below is a relaxed structure of TmScPdRu, with properties calculated at the PBE-GGA level.

Structure (CIF):
```
data_TmScPdRu
_cell_length_a 3.3453
_cell_length_b 3.3453
_cell_length_c 6.5986
_cell_angle_alpha 90.00
_cell_angle_beta 90.00
_cell_angle_gamma 90.00
_symmetry_space_group_name_H-M 'P 4 m m'
_symmetry_Int_Tables_number 99
loop_
_symmetry_equiv_pos_as_xyz
'x,y,z'
'-y,x,z'
'-x,-y,z'
'y,-x,z'
'-x,y,z'
'y,x,z'
'x,-y,z'
'-y,-x,z'
loop_
_atom_site_label
_atom_site_fract_x
_atom_site_fract_y
_atom_site_fract_z
Tm1 0.0000 0.0000 0.0000
Sc1 0.0000 0.0000 0.5200
Pd1 0.5000 0.5000 0.2690
Ru1 0.5000 0.5000 0.7458
```

calculated formation energy: -3.13 eV/f.u.
density: 9.48 Mg/m³
total moment: 0.00 Bohr magnetons per cell
DOS at the Fermi energy: 0.304 states/eV/atom

Below is a relaxed structure of TmScPdRu, with properties calculated at the PBE-GGA level.

Structure (CIF):
```
data_TmScPdRu
_cell_length_a 6.6558
_cell_length_b 6.6558
_cell_length_c 6.6558
_cell_angle_alpha 90.00
_cell_angle_beta 90.00
_cell_angle_gamma 90.00
_symmetry_space_group_name_H-M 'F -4 3 m'
_symmetry_Int_Tables_number 216
_symmetry_space_group_name_Hall 'F -4 2 3'
loop_
_atom_site_label
_atom_site_fract_x
_atom_site_fract_y
_atom_site_fract_z
Tm1 0.0000 0.0000 0.0000
Sc1 0.0000 0.0000 0.5000
Pd1 0.2500 0.2500 0.2500
Ru1 0.2500 0.2500 0.7500
```

calculated formation energy: -2.95 eV/f.u.
density: 9.49 Mg/m³
total moment: 0.00 Bohr magnetons per cell
DOS at the Fermi energy: 0.387 states/eV/atom